Entry 1:
A geometry-optimized AgPb2Cl8 structure. Source: Alexandria, functional GGA-PBE.

Unit cell a=6.6778 b=8.1689 c=8.1689 alpha=76.24 beta=81.24 gamma=81.24
With the nearest neighbours (Å) after each atom.
Fractional positions:
Pb1 0.3128 0.2178 0.2178  4 Cl 2.54-2.59
Cl1 0.1282 0.4120 0.4120  1 Cl 2.56, 1 Pb 2.56
Cl2 0.7067 0.1638 0.1638  1 Ag 2.58, 1 Pb 2.59
Cl3 0.2933 0.8362 0.8362  1 Ag 2.58, 1 Pb 2.59
Ag1 0.0000 0.0000 0.0000  6 Cl 2.58-2.78
Cl4 0.8047 0.7087 0.0757  1 Pb 2.54, 1 Ag 2.78
Cl5 0.8047 0.0757 0.7087  1 Pb 2.54, 1 Ag 2.78
Pb2 0.6872 0.7822 0.7822  4 Cl 2.54-2.59
Cl6 0.8718 0.5880 0.5880  1 Cl 2.56, 1 Pb 2.56
Cl7 0.1953 0.9243 0.2913  1 Pb 2.54, 1 Ag 2.78
Cl8 0.1953 0.2913 0.9243  1 Pb 2.54, 1 Ag 2.78

Values from the calculation:
* formation energy (no corrections): -6.61 eV/f.u.
* mass density: 3.2 g/cm³
* total moment: 0.000 μB/atom
* total DFT energy (no corrections): -2.8770 eV per atom
* symmetry: No. 12

Entry 2:
A geometry-optimized Tb2Pr2Ho3 structure. Source: Alexandria, functional GGA-PBE.

Unit cell a=8.4684 b=8.4684 c=8.4684 alpha=109.47 beta=109.47 gamma=109.47
With the nearest neighbours (Å) after each atom.
Fractional positions:
Pr1 0.0000 0.0000 0.8147  1 Tb 3.35, 3 Ho 3.49, 3 Pr 3.57
Ho1 0.7500 0.5531 0.3031  4 Tb 3.25-3.31, 2 Pr 3.49
Ho2 0.6969 0.7500 0.9469  4 Tb 3.25-3.31, 2 Pr 3.49
Tb1 0.0000 0.0000 0.4187  6 Ho 3.25-3.31, 1 Pr 3.35
Ho3 0.4469 0.1969 0.7500  4 Tb 3.25-3.31, 2 Pr 3.49
Pr2 0.5000 0.8147 0.5000  1 Tb 3.35, 3 Ho 3.49, 3 Pr 3.57
Tb2 0.5000 0.4187 0.5000  6 Ho 3.25-3.31, 1 Pr 3.35
Pr3 0.1853 0.6853 0.6853  1 Tb 3.35, 3 Ho 3.49, 3 Pr 3.57
Ho4 0.0531 0.3031 0.2500  4 Tb 3.25-3.31, 2 Pr 3.49
Ho5 0.8031 0.2500 0.5531  4 Tb 3.25-3.31, 2 Pr 3.49
Pr4 0.3147 0.5000 0.0000  1 Tb 3.35, 3 Ho 3.49, 3 Pr 3.57
Tb3 0.9187 0.5000 0.0000  6 Ho 3.25-3.31, 1 Pr 3.35
Ho6 0.2500 0.9469 0.1969  4 Tb 3.25-3.31, 2 Pr 3.49
Tb4 0.5813 0.0813 0.0813  6 Ho 3.25-3.31, 1 Pr 3.35

Values from the calculation:
* energy relative to the elements: 216 meV/atom
* mass density: 7.8 g/cm³
* total moment: 0.000 μB/atom
* total DFT energy (no corrections): -4.4340 eV per atom
* symmetry: No. 199

Entry 3:
A geometry-optimized Na2TiTlCl6 structure. Source: Alexandria, functional GGA-PBE.

Unit cell a=7.0442 b=7.0445 c=7.6109 alpha=62.43 beta=62.42 gamma=59.99
With the nearest neighbours (Å) after each atom.
Fractional positions:
Tl1 0.8081 0.8081 0.5756  6 Cl 3.05-3.40
Cl1 0.3718 0.6975 0.7788  1 Ti 2.47
Ti1 0.3277 0.3278 0.0168  6 Cl 2.44-2.47
Na1 0.0037 0.0037 0.9891  6 Cl 2.77-2.93
Cl2 0.2618 0.9671 0.2219  1 Ti 2.44
Cl3 0.1519 0.3718 0.7789  1 Ti 2.47
Cl4 0.9670 0.5493 0.2219  1 Ti 2.44
Cl5 0.5493 0.2618 0.2218  1 Ti 2.44
Na2 0.5227 0.5227 0.4315  6 Cl 2.84-2.96
Cl6 0.6975 0.1518 0.7789  1 Ti 2.47

Values from the calculation:
* formation energy (no corrections): -15.39 eV/f.u.
* mass density: 3.1 g/cm³
* total moment: 0.100 μB/atom
* total DFT energy (no corrections): -3.9366 eV per atom
* symmetry: No. 146

Question: Which value of total DFT energy (no corrections) does entry 1 give?
Answer: -2.8770 eV per atom

Question: total moment of number 2 (Tb2Pr2Ho3)?
Answer: 0.000 μB/atom

Question: Among the records above, which one has the lowest total DFT energy (no corrections)?
Answer: Tb2Pr2Ho3

Question: The highest mass density belongs to which entry?
Answer: Tb2Pr2Ho3